1.
{
  "formula": "CaTmGaCu",
  "functional": "PBE",
  "state": "relaxed",
  "lattice_angstrom": [[0.000, 3.535, 3.535], [3.535, 0.000, 3.535], [3.535, 3.535, 0.000]],
  "species": ["Ca", "Tm", "Ga", "Cu"],
  "fractional_positions": [[0.000, 0.000, 0.000], [0.500, 0.500, 0.500], [0.750, 0.750, 0.750], [0.250, 0.250, 0.250]],
  "ef_ev_per_atom": -0.32,
  "sg": "F-43m (216)",
  "dos_ef_per_ev_fu": 3.80
}

2.
{
  "formula": "CaZnGa2Cu",
  "functional": "PBE",
  "state": "relaxed",
  "lattice_angstrom": [[-2.101, 2.101, 5.320], [2.101, -2.101, 5.320], [2.101, 2.101, -5.320]],
  "species": ["Ca", "Zn", "Ga", "Ga", "Cu"],
  "fractional_positions": [[0.000, 0.000, 0.000], [0.750, 0.250, 0.500], [0.380, 0.380, 0.000], [0.620, 0.620, 0.000], [0.250, 0.750, 0.500]],
  "ef_ev_per_atom": -0.32,
  "sg": "I-4m2 (119)",
  "dos_ef_per_ev_fu": 1.68
}

3.
{
  "formula": "Ca2ZnGa4Cu3",
  "functional": "PBE",
  "state": "relaxed",
  "lattice_angstrom": [[4.177, 0.000, 0.000], [0.000, 4.177, 0.000], [0.000, 0.000, 10.495]],
  "species": ["Ca", "Ca", "Zn", "Ga", "Ga", "Ga", "Ga", "Cu", "Cu", "Cu"],
  "fractional_positions": [[0.000, 0.500, 0.249], [0.500, 0.000, 0.751], [0.000, 0.000, 0.500], [0.000, 0.000, 0.000], [0.000, 0.500, 0.636], [0.500, 0.000, 0.364], [0.500, 0.500, 0.000], [0.000, 0.500, 0.868], [0.500, 0.000, 0.132], [0.500, 0.500, 0.500]],
  "ef_ev_per_atom": -0.33,
  "sg": "P-4m2 (115)",
  "dos_ef_per_ev_fu": 3.48
}

4.
{
  "formula": "Ca2Zn2GaCu5",
  "functional": "PBE",
  "state": "relaxed",
  "lattice_angstrom": [[9.728, 0.000, 0.000], [0.000, 9.728, 0.000], [0.000, 0.000, 3.577]],
  "species": ["Ca", "Ca", "Ca", "Ca", "Zn", "Zn", "Zn", "Zn", "Ga", "Ga", "Cu", "Cu", "Cu", "Cu", "Cu", "Cu", "Cu", "Cu", "Cu", "Cu"],
  "fractional_positions": [[0.178, 0.322, 0.000], [0.322, 0.822, 0.000], [0.678, 0.178, 0.000], [0.822, 0.678, 0.000], [0.120, 0.620, 0.000], [0.380, 0.120, 0.000], [0.620, 0.880, 0.000], [0.880, 0.380, 0.000], [0.000, 0.000, 0.000], [0.500, 0.500, 0.000], [0.000, 0.500, 0.500], [0.054, 0.807, 0.500], [0.193, 0.054, 0.500], [0.307, 0.554, 0.500], [0.446, 0.307, 0.500], [0.500, 0.000, 0.500], [0.554, 0.693, 0.500], [0.693, 0.446, 0.500], [0.807, 0.946, 0.500], [0.946, 0.193, 0.500]],
  "ef_ev_per_atom": -0.07,
  "sg": "P4/mbm (127)",
  "dos_ef_per_ev_fu": 4.29
}

5.
{
  "formula": "Ca2Zn4Ga3Cu",
  "functional": "PBE",
  "state": "relaxed",
  "lattice_angstrom": [[4.239, 0.000, 0.000], [0.000, 4.239, 0.000], [0.000, 0.000, 10.652]],
  "species": ["Ca", "Ca", "Zn", "Zn", "Zn", "Zn", "Ga", "Ga", "Ga", "Cu"],
  "fractional_positions": [[0.000, 0.500, 0.247], [0.500, 0.000, 0.753], [0.000, 0.000, 0.500], [0.000, 0.500, 0.871], [0.500, 0.000, 0.129], [0.500, 0.500, 0.500], [0.000, 0.000, 0.000], [0.000, 0.500, 0.638], [0.500, 0.000, 0.362], [0.500, 0.500, 0.000]],
  "ef_ev_per_atom": -0.28,
  "sg": "P-4m2 (115)",
  "dos_ef_per_ev_fu": 6.38
}

6.
{
  "formula": "Ca2ZnGaCu6",
  "functional": "PBE",
  "state": "relaxed",
  "lattice_angstrom": [[0.000, 4.595, 4.595], [4.595, 0.000, 4.595], [4.595, 4.595, 0.000]],
  "species": ["Ca", "Ca", "Zn", "Ga", "Cu", "Cu", "Cu", "Cu", "Cu", "Cu"],
  "fractional_positions": [[0.250, 0.250, 0.250], [0.750, 0.750, 0.750], [0.000, 0.000, 0.000], [0.500, 0.500, 0.500], [0.249, 0.249, 0.751], [0.249, 0.751, 0.249], [0.249, 0.751, 0.751], [0.751, 0.249, 0.249], [0.751, 0.249, 0.751], [0.751, 0.751, 0.249]],
  "ef_ev_per_atom": 0.13,
  "sg": "Fm-3m (225)",
  "dos_ef_per_ev_fu": 3.43
}

7.
{
  "formula": "CaZnGa3Cu",
  "functional": "PBE",
  "state": "relaxed",
  "lattice_angstrom": [[3.065, -6.100, 0.000], [3.065, 6.100, 0.000], [0.000, 0.000, 6.401]],
  "species": ["Ca", "Ca", "Zn", "Zn", "Ga", "Ga", "Ga", "Ga", "Ga", "Ga", "Cu", "Cu"],
  "fractional_positions": [[0.199, 0.801, 0.750], [0.801, 0.199, 0.250], [0.428, 0.572, 0.750], [0.572, 0.428, 0.250], [0.211, 0.211, 0.000], [0.211, 0.211, 0.500], [0.353, 0.647, 0.250], [0.647, 0.353, 0.750], [0.789, 0.789, 0.000], [0.789, 0.789, 0.500], [0.142, 0.858, 0.250], [0.858, 0.142, 0.750]],
  "ef_ev_per_atom": -0.06,
  "sg": "Cmcm (63)",
  "dos_ef_per_ev_fu": 1.40
}

8.
{
  "formula": "Ca2ZnGa6Cu",
  "functional": "PBE",
  "state": "relaxed",
  "lattice_angstrom": [[3.204, 1.850, 11.606], [-3.204, 1.850, 11.606], [0.000, -3.699, 11.606]],
  "species": ["Ca", "Ca", "Ca", "Ca", "Zn", "Zn", "Ga", "Ga", "Ga", "Ga", "Ga", "Ga", "Ga", "Ga", "Ga", "Ga", "Ga", "Ga", "Cu", "Cu"],
  "fractional_positions": [[0.105, 0.105, 0.105], [0.279, 0.279, 0.279], [0.721, 0.721, 0.721], [0.895, 0.895, 0.895], [0.426, 0.426, 0.426], [0.574, 0.574, 0.574], [0.072, 0.668, 0.668], [0.225, 0.225, 0.639], [0.225, 0.639, 0.225], [0.332, 0.332, 0.928], [0.332, 0.928, 0.332], [0.361, 0.775, 0.775], [0.639, 0.225, 0.225], [0.668, 0.072, 0.668], [0.668, 0.668, 0.072], [0.775, 0.361, 0.775], [0.775, 0.775, 0.361], [0.928, 0.332, 0.332], [0.000, 0.000, 0.000], [0.500, 0.500, 0.500]],
  "ef_ev_per_atom": -0.24,
  "sg": "R-3m (166)",
  "dos_ef_per_ev_fu": 2.02
}

9.
{
  "formula": "Ca2Zn3GaCu12",
  "functional": "PBE",
  "state": "relaxed",
  "lattice_angstrom": [[4.357, 2.516, 4.112], [-4.357, 2.516, 4.112], [0.000, -5.031, 4.112]],
  "species": ["Ca", "Ca", "Zn", "Zn", "Zn", "Ga", "Cu", "Cu", "Cu", "Cu", "Cu", "Cu", "Cu", "Cu", "Cu", "Cu", "Cu", "Cu"],
  "fractional_positions": [[0.211, 0.211, 0.211], [0.789, 0.789, 0.789], [0.000, 0.500, 0.500], [0.500, 0.000, 0.500], [0.500, 0.500, 0.000], [0.500, 0.500, 0.500], [0.082, 0.082, 0.642], [0.082, 0.642, 0.082], [0.224, 0.697, 0.697], [0.303, 0.303, 0.776], [0.303, 0.776, 0.303], [0.358, 0.918, 0.918], [0.642, 0.082, 0.082], [0.697, 0.224, 0.697], [0.697, 0.697, 0.224], [0.776, 0.303, 0.303], [0.918, 0.358, 0.918], [0.918, 0.919, 0.358]],
  "ef_ev_per_atom": 0.05,
  "sg": "R-3m (166)",
  "dos_ef_per_ev_fu": 6.18
}

10.
{
  "formula": "CaZn8Ga2Cu",
  "functional": "PBE",
  "state": "relaxed",
  "lattice_angstrom": [[4.045, -2.533, 0.000], [4.045, 2.533, 0.000], [-0.847, 0.000, 10.166]],
  "species": ["Ca", "Zn", "Zn", "Zn", "Zn", "Zn", "Zn", "Zn", "Zn", "Ga", "Ga", "Cu"],
  "fractional_positions": [[0.000, 0.000, 0.000], [0.169, 0.676, 0.694], [0.324, 0.324, 0.890], [0.324, 0.831, 0.306], [0.328, 0.328, 0.467], [0.672, 0.672, 0.533], [0.676, 0.169, 0.694], [0.676, 0.676, 0.110], [0.831, 0.324, 0.306], [0.329, 0.329, 0.163], [0.671, 0.671, 0.837], [0.000, 0.000, 0.500]],
  "ef_ev_per_atom": -0.04,
  "sg": "C2/m (12)",
  "dos_ef_per_ev_fu": 4.62
}

11.
{
  "formula": "Ca2ZnGa3Cu12",
  "functional": "PBE",
  "state": "relaxed",
  "lattice_angstrom": [[4.419, 2.551, 4.080], [-4.419, 2.551, 4.080], [0.000, -5.102, 4.080]],
  "species": ["Ca", "Ca", "Zn", "Ga", "Ga", "Ga", "Cu", "Cu", "Cu", "Cu", "Cu", "Cu", "Cu", "Cu", "Cu", "Cu", "Cu", "Cu"],
  "fractional_positions": [[0.203, 0.203, 0.203], [0.797, 0.797, 0.797], [0.500, 0.500, 0.500], [0.000, 0.500, 0.500], [0.500, 0.000, 0.500], [0.500, 0.500, 0.000], [0.087, 0.087, 0.634], [0.087, 0.634, 0.087], [0.221, 0.695, 0.695], [0.305, 0.305, 0.779], [0.305, 0.779, 0.305], [0.366, 0.913, 0.913], [0.634, 0.087, 0.087], [0.695, 0.221, 0.695], [0.695, 0.695, 0.221], [0.779, 0.305, 0.305], [0.913, 0.366, 0.913], [0.913, 0.913, 0.366]],
  "ef_ev_per_atom": 0.04,
  "sg": "R-3m (166)",
  "dos_ef_per_ev_fu": 5.82
}

12.
{
  "formula": "Ca2Zn12GaCu3",
  "functional": "PBE",
  "state": "relaxed",
  "lattice_angstrom": [[4.613, 2.664, 4.191], [-4.613, 2.664, 4.191], [0.000, -5.327, 4.191]],
  "species": ["Ca", "Ca", "Zn", "Zn", "Zn", "Zn", "Zn", "Zn", "Zn", "Zn", "Zn", "Zn", "Zn", "Zn", "Ga", "Cu", "Cu", "Cu"],
  "fractional_positions": [[0.246, 0.246, 0.246], [0.754, 0.754, 0.754], [0.074, 0.074, 0.652], [0.074, 0.652, 0.074], [0.216, 0.698, 0.698], [0.302, 0.302, 0.784], [0.302, 0.784, 0.302], [0.348, 0.926, 0.926], [0.652, 0.074, 0.074], [0.698, 0.216, 0.698], [0.698, 0.698, 0.216], [0.784, 0.302, 0.302], [0.926, 0.348, 0.926], [0.926, 0.926, 0.348], [0.500, 0.500, 0.500], [0.000, 0.500, 0.500], [0.500, 0.000, 0.500], [0.500, 0.500, 0.000]],
  "ef_ev_per_atom": 0.03,
  "sg": "R-3m (166)",
  "dos_ef_per_ev_fu": 6.74
}